The following is a PBE+U calculation of Li3Mn2CoO6 after structural relaxation, from Alexandria via LeMat-Bulk.

a b c (Å): 3.0665 6.0650 6.4878
angles (deg): 102.54 103.45 96.12
Fractional positions:
1 Li 0.0000 0.0000 0.0000
2 Li 0.3368 0.6670 0.6729
3 Li 0.6632 0.3330 0.3271
4 Mn 0.3325 0.1708 0.6680
5 Mn 0.6675 0.8292 0.3320
6 Co 0.0000 0.5000 0.0000
7 O 0.1449 0.0790 0.3460
8 O 0.1834 0.5835 0.3148
9 O 0.4811 0.7388 0.0122
10 O 0.5189 0.2612 0.9878
11 O 0.8166 0.4165 0.6852
12 O 0.8551 0.9210 0.6540

Results
Electronic total energy (eV/atom): -6.277
Symmetry: No. 2
ΔE to the lowest computed polymorph (meV per atom): 19
Calculated volume (Å³ per cell): 113.0
M_tot (μB/atom): 0.8333